The following is a DFT calculation (PBE) of a relaxed GeAu crystal.

Unit cell a=5.8489 b=5.8489 c=5.8489 alpha=90.00 beta=90.00 gamma=90.00
Last column: nearest neighbours and their distance in Å.
Sites, in units of the cell vectors:
Ge 0.2500 0.2500 0.2500  4 Au 2.53
Ge 0.7500 0.2500 0.7500  4 Au 2.53
Ge 0.2500 0.7500 0.7500  4 Au 2.53
Ge 0.7500 0.7500 0.2500  4 Au 2.53
Au 0.0000 0.5000 0.5000  4 Ge 2.53
Au 0.0000 0.0000 0.0000  4 Ge 2.53
Au 0.5000 0.0000 0.5000  4 Ge 2.53
Au 0.5000 0.5000 0.0000  4 Ge 2.53

For the formation energy, the calculation gives 224 meV per atom. The density of states at the Fermi level is 4.324 states/eV per cell.

=====

The following is a DFT calculation (PBE) of a relaxed GeAu3 crystal.

Unit cell a=4.2488 b=4.2488 c=5.0413 alpha=114.92 beta=114.92 gamma=90.00
Last column: nearest neighbours and their distance in Å.
Sites, in units of the cell vectors:
Ge 0.0000 0.0000 0.0000  12 Au 2.93-3.00
Au 0.7500 0.2500 0.5000  4 Ge 2.93, 8 Au 2.93-3.00
Au 0.2500 0.7500 0.5000  4 Ge 2.93, 8 Au 2.93-3.00
Au 0.5000 0.5000 0.0000  8 Au 2.93, 4 Ge 3.00

For the formation energy, the calculation gives 53 meV per atom. The density of states at the Fermi level is 0.788 states/eV per cell.

=====

The following is a DFT calculation (PBE) of a relaxed GeAu crystal.

Unit cell a=7.2228 b=7.2228 c=7.2228 alpha=90.00 beta=90.00 gamma=90.00
Last column: nearest neighbours and their distance in Å.
Sites, in units of the cell vectors:
Au 0.2500 0.5000 0.0000  4 Ge 2.55
Au 0.7500 0.5000 0.0000  4 Ge 2.55
Au 0.5000 0.0000 0.7500  4 Ge 2.55
Au 0.0000 0.7500 0.5000  4 Ge 2.55
Au 0.0000 0.2500 0.5000  4 Ge 2.55
Au 0.5000 0.0000 0.2500  4 Ge 2.55
Ge 0.5000 0.7500 0.0000  4 Au 2.55
Ge 0.0000 0.5000 0.2500  4 Au 2.55
Ge 0.0000 0.5000 0.7500  4 Au 2.55
Ge 0.5000 0.2500 0.0000  4 Au 2.55
Ge 0.2500 0.0000 0.5000  4 Au 2.55
Ge 0.7500 0.0000 0.5000  4 Au 2.55

For the formation energy, the calculation gives 298 meV per atom. The density of states at the Fermi level is 8.964 states/eV per cell.